An optimized crystal structure of MgTl2Pd8. Source: the Alexandria database, functional PBE-GGA.

total moment: 0.0 μB per cell
SG: Immm, No. 71
formation enthalpy at 0 K: -0.27 eV per atom
E above lowest polymorph: 0 meV per atom
N(E_F): 7.0 states/eV/cell

Lattice parameters (Å, degrees): 7.485 7.485 7.485 148.94 115.21 73.59
Sites, in units of the cell vectors:
Mg: 0.000 0.000 0.000
Tl: 0.346 0.346 0.000
Tl: 0.654 0.654 0.000
Pd: 0.082 0.834 0.248
Pd: 0.166 0.666 0.500
Pd: 0.239 0.500 0.739
Pd: 0.414 0.166 0.248
Pd: 0.586 0.834 0.752
Pd: 0.761 0.500 0.261
Pd: 0.834 0.334 0.500
Pd: 0.918 0.166 0.752